This record from Alexandria describes crystalline BaCoN3 at its relaxed geometry. The functional is PBE-GGA.

Properties
- Symmetry: Pm-3m (221)
- ΔE_f (raw): 3.06 eV per atom

Cell lengths 4.5155, 4.5155, 4.5155 Å; angles 90.00, 90.00, 90.00 degrees
Closest atoms and distances in Å follow each position.
Element x y z (fractional)
Ba 0.0000 0.0000 0.0000  6 N 2.26
Co 0.5000 0.5000 0.5000  12 N 3.19
N 0.0000 0.0000 0.5000  2 Ba 2.26
N 0.0000 0.5000 0.0000  2 Ba 2.26
N 0.5000 0.0000 0.0000  2 Ba 2.26

=====

This record from Alexandria describes crystalline BaCoN at its relaxed geometry. The functional is PBE-GGA.

Properties
- Symmetry: Pnma (62)
- ΔE_f (raw): -0.41 eV per atom

Cell lengths 9.7051, 23.4976, 5.4718 Å; angles 90.00, 90.00, 90.00 degrees
Closest atoms and distances in Å follow each position.
Element x y z (fractional)
Ba 0.0073 0.2500 0.0043  4 N 2.80-2.86
Ba 0.1575 0.5480 0.4912  4 N 2.83-3.10, 1 Co 3.15
Ba 0.1575 0.9520 0.4912  4 N 2.83-3.10, 1 Co 3.15
Ba 0.1766 0.1515 0.4586  4 N 2.87-2.99
Ba 0.1766 0.3485 0.4586  4 N 2.87-2.99
Ba 0.3234 0.6515 0.9586  4 N 2.87-2.99
Ba 0.3234 0.8485 0.9586  4 N 2.87-2.99
Ba 0.3425 0.0480 0.9912  4 N 2.83-3.10, 1 Co 3.15
Ba 0.3425 0.4520 0.9912  4 N 2.83-3.10, 1 Co 3.15
Ba 0.4927 0.7500 0.5043  4 N 2.80-2.86
Ba 0.5073 0.2500 0.4957  4 N 2.80-2.86
Ba 0.6575 0.5480 0.0088  4 N 2.83-3.10, 1 Co 3.15
Ba 0.6575 0.9520 0.0088  4 N 2.83-3.10, 1 Co 3.15
Ba 0.6766 0.1515 0.0414  4 N 2.87-2.99
Ba 0.6766 0.3485 0.0414  4 N 2.87-2.99
Ba 0.8234 0.6515 0.5414  4 N 2.87-2.99
Ba 0.8234 0.8485 0.5414  4 N 2.87-2.99
Ba 0.8425 0.0480 0.5088  4 N 2.83-3.10, 1 Co 3.15
Ba 0.8425 0.4520 0.5088  4 N 2.83-3.10, 1 Co 3.15
Ba 0.9927 0.7500 0.9957  4 N 2.80-2.86
Co 0.0000 0.0000 0.0000  2 N 1.82
Co 0.0000 0.5000 0.0000  2 N 1.82
Co 0.0035 0.6024 0.0420  2 N 1.74-1.79
Co 0.0035 0.8976 0.0420  2 N 1.74-1.79
Co 0.1446 0.6992 0.4552  2 N 1.74-1.81
Co 0.1446 0.8008 0.4552  2 N 1.74-1.81
Co 0.3554 0.1992 0.9552  2 N 1.74-1.81
Co 0.3554 0.3008 0.9552  2 N 1.74-1.81
Co 0.4965 0.1024 0.5420  2 N 1.74-1.79
Co 0.4965 0.3976 0.5420  2 N 1.74-1.79
Co 0.5000 0.0000 0.5000  2 N 1.82
Co 0.5000 0.5000 0.5000  2 N 1.82
Co 0.5035 0.6024 0.4580  2 N 1.74-1.79
Co 0.5035 0.8976 0.4580  2 N 1.74-1.79
Co 0.6446 0.6992 0.0448  2 N 1.74-1.81
Co 0.6446 0.8008 0.0448  2 N 1.74-1.81
Co 0.8554 0.1992 0.5448  2 N 1.74-1.81
Co 0.8554 0.3008 0.5448  2 N 1.74-1.81
Co 0.9965 0.1024 0.9580  2 N 1.74-1.79
Co 0.9965 0.3976 0.9580  2 N 1.74-1.79
N 0.0720 0.0572 0.1835  2 Co 1.79-1.82
N 0.0720 0.4428 0.1835  2 Co 1.79-1.82
N 0.0748 0.6495 0.2535  2 Co 1.74
N 0.0748 0.8505 0.2535  2 Co 1.74
N 0.2190 0.7500 0.6669  2 Co 1.81
N 0.2810 0.2500 0.1669  2 Co 1.81
N 0.4252 0.1495 0.7535  2 Co 1.74
N 0.4252 0.3505 0.7535  2 Co 1.74
N 0.4280 0.5572 0.6835  2 Co 1.79-1.82
N 0.4280 0.9428 0.6835  2 Co 1.79-1.82
N 0.5720 0.0572 0.3165  2 Co 1.79-1.82
N 0.5720 0.4428 0.3165  2 Co 1.79-1.82
N 0.5748 0.6495 0.2465  2 Co 1.74
N 0.5748 0.8505 0.2465  2 Co 1.74
N 0.7190 0.7500 0.8331  2 Co 1.81
N 0.7810 0.2500 0.3331  2 Co 1.81
N 0.9252 0.1495 0.7465  2 Co 1.74
N 0.9252 0.3505 0.7465  2 Co 1.74
N 0.9280 0.5572 0.8165  2 Co 1.79-1.82
N 0.9280 0.9428 0.8165  2 Co 1.79-1.82

=====

This record from Alexandria describes crystalline BaCoN2 at its relaxed geometry. The functional is PBE-GGA.

Properties
- Symmetry: Cmce (64)
- ΔE_f (raw): -0.25 eV per atom
- Relative energy among the computed polymorphs: 0.000 eV per atom

Cell lengths 6.4086, 6.4086, 7.6897 Å; angles 90.00, 90.00, 126.34 degrees
Closest atoms and distances in Å follow each position.
Element x y z (fractional)
Ba 0.1583 0.8417 0.9398  6 N 2.76-2.95
Ba 0.3417 0.6583 0.4398  6 N 2.76-2.95
Ba 0.6583 0.3417 0.5602  6 N 2.76-2.95
Ba 0.8417 0.1583 0.0602  6 N 2.76-2.95
Co 0.0529 0.9471 0.3659  4 N 1.77-1.91
Co 0.4471 0.5529 0.8659  4 N 1.77-1.91
Co 0.5529 0.4471 0.1341  4 N 1.77-1.91
Co 0.9471 0.0529 0.6341  4 N 1.77-1.91
N 0.1114 0.8886 0.5873  2 Co 1.83-1.91
N 0.1552 0.3448 0.7500  2 Co 1.77
N 0.3448 0.1552 0.2500  2 Co 1.77
N 0.3886 0.6114 0.0873  2 Co 1.83-1.91
N 0.6114 0.3886 0.9127  2 Co 1.83-1.91
N 0.6552 0.8448 0.7500  2 Co 1.77
N 0.8448 0.6552 0.2500  2 Co 1.77
N 0.8886 0.1114 0.4127  2 Co 1.83-1.91

=====

This record from Alexandria describes crystalline BaCoN2 at its relaxed geometry. The functional is PBE-GGA.

Properties
- Symmetry: R-3m (166)
- ΔE_f (raw): 0.37 eV per atom
- Relative energy among the computed polymorphs: 0.623 eV per atom

Cell lengths 6.3056, 6.3056, 6.3056 Å; angles 40.19, 40.19, 40.19 degrees
Closest atoms and distances in Å follow each position.
Element x y z (fractional)
Ba 0.0000 0.0000 0.0000  6 N 2.80
Co 0.5000 0.5000 0.5000  2 N 1.64
N 0.4054 0.4054 0.4054  1 Co 1.64
N 0.5946 0.5946 0.5946  1 Co 1.64